(1)
A plane-wave DFT calculation with PBE-GGA was carried out for YTmSnHg after structural relaxation.

Calculated values
**Density**: 9.2 g cm⁻³
**Total DFT energy (no corrections)**: -17.4 eV/cell
**Formation enthalpy at 0 K**: -0.5520 eV per atom

Unit cell a=3.783 b=3.783 c=7.239 alpha=90.00 beta=90.00 gamma=90.00
Element x y z (fractional)
Y  0.000  0.000  0.000
Tm  0.000  0.000  0.506
Sn  0.500  0.500  0.257
Hg  0.500  0.500  0.745



(2)
A plane-wave DFT calculation with PBE-GGA was carried out for YTmSnHg after structural relaxation.

Calculated values
**Density**: 9.3 g cm⁻³
**Total DFT energy (no corrections)**: -69.8 eV/cell
**Formation enthalpy at 0 K**: -0.5509 eV per atom

Unit cell a=7.437 b=7.437 c=7.437 alpha=90.00 beta=90.00 gamma=90.00
Element x y z (fractional)
Y  0.000  0.000  0.000
Y  0.000  0.500  0.500
Y  0.500  0.000  0.500
Y  0.500  0.500  0.000
Tm  0.000  0.000  0.500
Tm  0.000  0.500  0.000
Tm  0.500  0.000  0.000
Tm  0.500  0.500  0.500
Sn  0.250  0.250  0.750
Sn  0.250  0.750  0.250
Sn  0.750  0.250  0.250
Sn  0.750  0.750  0.750
Hg  0.250  0.250  0.250
Hg  0.250  0.750  0.750
Hg  0.750  0.250  0.750
Hg  0.750  0.750  0.250



Which formula does entry 2 have?
YTmSnHg



Look up the density of the second one.
9.3 g cm⁻³



Which of these has the lowest density?
number 1